# 1
Entry from Alexandria: LiCa2Sn4Ir3 after structural relaxation (GGA-PBE).

Cell: 4.5986 4.5986 10.5488 Å, 90.00 90.00 90.00°
Last column: nearest neighbours and their distance in Å.
Fractional positions:
1 Li 0.0000 0.0000 0.0000  4 Sn 2.64
2 Ca 0.0000 0.5000 0.7534  2 Li 3.47, 6 Ir 3.47-3.50, 8 Sn 3.50-3.53
3 Ca 0.5000 0.0000 0.2466  2 Li 3.47, 6 Ir 3.47-3.50, 8 Sn 3.50-3.53
4 Sn 0.0000 0.0000 0.5000  4 Ir 2.68
5 Sn 0.0000 0.5000 0.1239  3 Ir 2.59-2.64, 2 Li 2.64
6 Sn 0.5000 0.0000 0.8761  3 Ir 2.59-2.64, 2 Li 2.64
7 Sn 0.5000 0.5000 0.5000  4 Ir 2.68
8 Ir 0.0000 0.5000 0.3695  5 Sn 2.59-2.68
9 Ir 0.5000 0.0000 0.6305  5 Sn 2.59-2.68
10 Ir 0.5000 0.5000 0.0000  4 Sn 2.64

The formation energy is -43 kJ per mole of atoms.


# 2
Entry from Alexandria: Sr2LiCaIr after structural relaxation (GGA-PBE).

Cell: 5.8789 5.8789 5.5600 Å, 90.00 90.00 90.00°
Last column: nearest neighbours and their distance in Å.
Fractional positions:
1 Sr 0.0000 0.5000 0.0000  2 Ir 2.94
2 Sr 0.5000 0.0000 0.0000  2 Ir 2.94
3 Li 0.0000 0.0000 0.5000  8 Sr 4.05, 4 Ca 4.16
4 Ca 0.5000 0.5000 0.5000  2 Ir 2.78
5 Ir 0.5000 0.5000 0.0000  2 Ca 2.78, 4 Sr 2.94

The formation energy is -10 kJ per mole of atoms.


# 3
Entry from Alexandria: LiCa2TeIr after structural relaxation (GGA-PBE).

Cell: 5.4040 5.4040 4.7224 Å, 90.00 90.00 90.00°
Last column: nearest neighbours and their distance in Å.
Fractional positions:
1 Li 0.0000 0.0000 0.0000  2 Ir 2.36
2 Ca 0.0000 0.5000 0.5000  2 Ir 2.70
3 Ca 0.5000 0.0000 0.5000  2 Ir 2.70
4 Te 0.5000 0.5000 0.0000  8 Ca 3.59, 4 Li 3.82
5 Ir 0.0000 0.0000 0.5000  2 Li 2.36

Its uncorrected formation energy is -0.49 eV/atom.


N(E_F) readings, ordered: 0.55, 0.59, 0.02 states/eV per atom
VASP energy readings, ordered: -52.994, -16.645, -20.378 eV/cell